1.
The following is a DFT calculation (GGA-PBE) of a relaxed structure of TaAl2W.

POSCAR file:
```
TaAl2W
1.0
1.6688 -2.2274 0.0000
1.6688 2.2274 0.0000
0.0000 0.0000 8.8722
Ta Al W
1 2 1
Direct
0.0000 0.0000 0.0000 Ta
0.0000 0.0000 0.5040 Al
0.5000 0.5000 0.2501 Al
0.5000 0.5000 0.7404 W
```

Results
- Symmetry: Cmm2 (35)
- Calculated density: 10.54 g cm⁻³
- Calculated formation energy: 0.00 eV/atom

---

2.
The following is a DFT calculation (GGA-PBE) of a relaxed structure of PuHf2Zn.

POSCAR file:
```
PuHf2Zn
1.0
3.2090 0.0000 0.0000
0.0000 3.2090 0.0000
0.0000 0.0000 8.0852
Pu Hf Zn
1 2 1
Direct
0.0000 0.0000 0.0000 Pu
0.5000 0.5000 0.2777 Hf
0.5000 0.5000 0.7223 Hf
0.0000 0.0000 0.5000 Zn
```

Results
- Symmetry: P4/mmm (123)
- Calculated density: 13.29 g cm⁻³
- Calculated formation energy: -0.03 eV/atom

---

3.
The following is a DFT calculation (GGA-PBE) of a relaxed structure of TlSb2Se2.

POSCAR file:
```
TlSb2Se2
1.0
8.9077 0.0000 0.0000
0.0000 8.9077 0.0000
0.0000 0.0000 3.8443
Tl Sb Se
2 4 4
Direct
0.0000 0.0000 0.0000 Tl
0.5000 0.5000 0.0000 Tl
0.2011 0.2989 0.0000 Sb
0.2989 0.7989 0.0000 Sb
0.7011 0.2011 0.0000 Sb
0.7989 0.7011 0.0000 Sb
0.1507 0.6507 0.5000 Se
0.3493 0.1507 0.5000 Se
0.6507 0.8493 0.5000 Se
0.8493 0.3493 0.5000 Se
```

Results
- Formation energy (no corrections): -0.05 eV per atom
- Symmetry: P4/mbm (127)
- Calculated density: 6.60 g cm⁻³